(1)
Material: K4TcAu
Method: DFT, PBE
State: relaxed

```
K4TcAu
1.0
0.000 4.949 4.949
4.949 0.000 4.949
4.949 4.949 0.000
K Tc Au
4 1 1
Direct
0.376 0.376 0.376
0.376 0.376 0.873
0.376 0.873 0.376
0.873 0.376 0.376
0.000 0.000 0.000
0.750 0.750 0.750
```

Output
raw total energy	-11.7	eV for the cell shown
SG	F-43m, No. 216

---

(2)
Material: Tb2Y2Ho
Method: DFT, PBE
State: relaxed

```
Tb2Y2Ho
1.0
9.556 0.000 0.000
0.000 11.606 0.000
-1.920 0.000 5.752
Tb Y Ho
8 8 4
Direct
0.001 0.121 0.165
0.001 0.379 0.665
0.399 0.620 0.535
0.399 0.880 0.035
0.601 0.120 0.965
0.601 0.380 0.465
0.999 0.621 0.335
0.999 0.879 0.835
0.199 0.622 0.934
0.199 0.878 0.434
0.399 0.124 0.366
0.399 0.376 0.866
0.601 0.624 0.134
0.601 0.876 0.634
0.801 0.122 0.566
0.801 0.378 0.066
0.200 0.121 0.766
0.200 0.379 0.266
0.800 0.621 0.734
0.800 0.879 0.234
```

Output
raw total energy	-106.1	eV for the cell shown
SG	P2_1/c, No. 14

---

(3)
Material: Cd3SbRu
Method: DFT, PBE
State: relaxed

```
Cd3SbRu
1.0
5.169 0.000 0.000
0.000 5.169 0.000
0.000 0.000 5.169
Cd Sb Ru
3 1 1
Direct
0.000 0.000 0.500
0.000 0.500 0.000
0.500 0.000 0.000
0.500 0.500 0.500
0.000 0.000 0.000
```

Output
raw total energy	-12.6	eV for the cell shown
SG	Pm-3m, No. 221

---

(4)
Material: MgMn2PdC
Method: DFT, PBE
State: relaxed

```
MgMn2PdC
1.0
5.008 0.000 0.000
0.000 5.008 0.000
0.000 0.000 3.834
Mg Mn Pd C
1 2 1 1
Direct
0.000 0.000 0.000
0.000 0.500 0.500
0.500 0.000 0.500
0.500 0.500 0.500
0.500 0.500 0.000
```

Output
raw total energy	-28.9	eV for the cell shown
SG	P4/mmm, No. 123

---

(5)
Material: Tb3UBi4
Method: DFT, PBE
State: relaxed

```
Tb3UBi4
1.0
4.524 -6.346 0.000
4.524 6.346 0.000
0.000 0.000 4.471
Tb U Bi
3 1 4
Direct
0.000 0.000 0.000
0.000 0.500 0.500
0.500 0.000 0.500
0.500 0.500 0.000
0.248 0.248 0.500
0.251 0.749 0.000
0.749 0.251 0.000
0.752 0.752 0.500
```

Output
raw total energy	-45.6	eV for the cell shown
SG	Cmmm, No. 65

---

(6)
Material: SrNiH6Pb
Method: DFT, PBE
State: relaxed

```
SrNiH6Pb
1.0
5.168 0.000 0.000
-2.584 4.476 0.000
0.000 0.000 5.096
Sr Ni H Pb
1 1 6 1
Direct
0.000 0.000 0.000
0.333 0.667 0.000
0.067 0.470 0.197
0.067 0.597 0.803
0.403 0.470 0.803
0.403 0.933 0.197
0.530 0.597 0.197
0.530 0.933 0.803
0.667 0.333 0.500
```

Output
raw total energy	-31.5	eV for the cell shown
SG	P312, No. 149

---

(7)
Material: RbZrPO5
Method: DFT, PBE
State: relaxed

```
RbZrPO5
1.0
3.605 -4.738 0.000
3.605 4.738 0.000
-3.436 0.000 6.931
Rb Zr P O
2 2 2 10
Direct
0.165 0.835 0.750
0.835 0.165 0.250
0.500 0.500 0.000
0.500 0.500 0.500
0.190 0.810 0.250
0.810 0.190 0.750
0.090 0.276 0.882
0.215 0.643 0.375
0.276 0.090 0.382
0.357 0.785 0.125
0.441 0.559 0.750
0.559 0.441 0.250
0.643 0.215 0.875
0.724 0.910 0.618
0.785 0.357 0.625
0.910 0.724 0.118
```

Output
raw total energy	-121.2	eV for the cell shown
SG	C2/c, No. 15

---

(8)
Material: Na3Pu3CrS8
Method: DFT, PBE
State: relaxed

```
Na3Pu3CrS8
1.0
3.909 2.257 6.694
-3.909 2.257 6.694
0.000 -4.514 6.694
Na Pu Cr S
3 3 1 8
Direct
0.000 0.500 0.500
0.500 0.000 0.500
0.500 0.500 0.000
0.000 0.000 0.500
0.000 0.500 0.000
0.500 0.000 0.000
0.500 0.500 0.500
0.243 0.243 0.243
0.262 0.722 0.722
0.278 0.278 0.738
0.278 0.738 0.278
0.722 0.262 0.722
0.722 0.722 0.262
0.738 0.278 0.278
0.757 0.757 0.757
```

Output
raw total energy	-109.9	eV for the cell shown
SG	R-3m, No. 166

---

For reference, magnetization by record: 4.0 0.0 1.3 8.6 2.7 0.0 0.0 17.0 μB/f.u..